(1)
Here is an optimized crystal structure of SrSbOs2 from the Alexandria database. Energies are from GGA-PBE.

The structure in extended XYZ format:
```
4
Lattice="3.447 0.000 0.000 0.000 4.925 0.000 0.000 0.000 4.691" Properties=species:S:1:pos:R:3 pbc="T T T"
Os 0.000 0.000 0.000
Os 1.724 2.462 0.000
Sb 1.724 0.000 2.345
Sr 0.000 2.462 2.345
```

Results
The calculation puts the total energy at -6.03 eV per atom. As for the space group: Pmmm.

=====

(2)
Here is an optimized crystal structure of Mn2Ga2Os from the Alexandria database. Energies are from GGA-PBE.

The structure in extended XYZ format:
```
10
Lattice="6.703 0.000 0.000 0.000 6.703 0.000 0.000 0.000 2.885" Properties=species:S:1:pos:R:3 pbc="T T T"
Os 3.352 3.352 0.000
Os 0.000 0.000 0.000
Ga 2.452 5.804 0.000
Ga 0.899 2.452 0.000
Ga 5.804 4.251 0.000
Ga 4.251 0.899 0.000
Mn 1.110 4.462 1.443
Mn 5.593 2.241 1.443
Mn 2.241 1.110 1.443
Mn 4.462 5.593 1.443
```

Results
The calculation puts the polymorph energy (0 for the lowest one) at 0 meV per atom. As for the space group: P4/mbm. The energy of formation is 0.27 eV/atom.

=====

(3)
Here is an optimized crystal structure of Y4ErS7 from the Alexandria database. Energies are from GGA-PBE.

The structure in extended XYZ format:
```
12
Lattice="3.811 0.000 0.000 -1.905 6.214 -1.638 0.000 0.019 11.617" Properties=species:S:1:pos:R:3 pbc="T T T"
S 1.905 3.009 3.325
S 0.000 0.519 8.966
S 0.000 4.249 9.903
S 1.905 1.980 0.075
S 1.905 5.706 0.994
S 0.000 6.205 4.188
S 0.000 3.260 6.658
Y 1.905 2.496 8.776
Y 0.000 1.396 4.538
Y 0.000 3.736 1.207
Y 1.905 6.230 9.972
Er 1.905 4.832 5.448
```

Results
The calculation puts the total energy at -7.02 eV per atom. As for the space group: Cm.

=====

(4)
Here is an optimized crystal structure of Rb2NaSn2 from the Alexandria database. Energies are from GGA-PBE.

The structure in extended XYZ format:
```
10
Lattice="-8.946 4.545 -4.276 -2.961 -9.671 -4.085 -1.810 -0.722 3.021" Properties=species:S:1:pos:R:3 pbc="T T T"
Na -5.954 -2.563 -4.180
Na 0.000 0.000 0.000
Sn -3.492 -5.673 -1.309
Sn -10.226 -0.175 -4.031
Sn -4.822 0.591 -0.610
Sn -8.896 -6.438 -4.730
Rb -9.235 -3.121 -6.280
Rb -6.845 1.252 -3.803
Rb -5.063 -6.378 -4.558
Rb -2.673 -2.004 -2.080
```

Results
The calculation puts the polymorph energy (0 for the lowest one) at 135 meV per atom. As for the space group: P4/mbm. The energy of formation is 0.02 eV/atom.

=====

Repeat the third record exactly.
Here is an optimized crystal structure of Y4ErS7 from the Alexandria database. Energies are from GGA-PBE.

The structure in extended XYZ format:
```
12
Lattice="3.811 0.000 0.000 -1.905 6.214 -1.638 0.000 0.019 11.617" Properties=species:S:1:pos:R:3 pbc="T T T"
S 1.905 3.009 3.325
S 0.000 0.519 8.966
S 0.000 4.249 9.903
S 1.905 1.980 0.075
S 1.905 5.706 0.994
S 0.000 6.205 4.188
S 0.000 3.260 6.658
Y 1.905 2.496 8.776
Y 0.000 1.396 4.538
Y 0.000 3.736 1.207
Y 1.905 6.230 9.972
Er 1.905 4.832 5.448
```

Results
The calculation puts the total energy at -7.02 eV per atom. As for the space group: Cm.

=====

- Which formula does entry 4 have?
  Rb2NaSn2